Entry 1:
Compound: Pm2ScSn4Pd3
Source: the Alexandria database
Functional: PBE
Structure: optimized geometry

Unit cell a=4.370 b=4.370 c=12.192 alpha=90.00 beta=90.00 gamma=90.00
Atoms (fractional coordinates):
Pm (0.000, 0.500, 0.241)
Pm (0.500, 0.000, 0.759)
Sc (0.000, 0.000, 0.500)
Sn (0.000, 0.000, 0.000)
Sn (0.000, 0.500, 0.651)
Sn (0.500, 0.000, 0.349)
Sn (0.500, 0.500, 0.000)
Pd (0.000, 0.500, 0.866)
Pd (0.500, 0.000, 0.134)
Pd (0.500, 0.500, 0.500)

Values from the calculation:
space-group type: P-4m2
ΔE_f: -0.74 eV per atom
total magnetization: 0.00 μB per formula unit

Entry 2:
Compound: Sn3PtS
Source: the Alexandria database
Functional: PBE
Structure: optimized geometry

Unit cell a=5.216 b=5.216 c=5.216 alpha=90.00 beta=90.00 gamma=90.00
Atoms (fractional coordinates):
Sn (0.000, 0.000, 0.500)
Sn (0.000, 0.500, 0.000)
Sn (0.500, 0.000, 0.000)
Pt (0.000, 0.000, 0.000)
S (0.500, 0.500, 0.500)

Values from the calculation:
energy above the most stable polymorph in this dataset: 0.0 meV per atom
space-group type: Pm-3m
formation energy (no corrections): 95 meV/atom
total magnetization: 0.00 μB per formula unit

Entry 3:
Compound: Re2NiTe
Source: the Alexandria database
Functional: PBE
Structure: optimized geometry

Unit cell a=4.781 b=4.781 c=4.781 alpha=130.48 beta=130.48 gamma=72.63
Atoms (fractional coordinates):
Re (0.000, 0.000, 0.000)
Re (0.750, 0.250, 0.500)
Ni (0.500, 0.500, 0.000)
Te (0.250, 0.750, 0.500)

Values from the calculation:
space-group type: I-4m2
formation energy (no corrections): 616 meV/atom
total magnetization: 0.00 μB per formula unit

What is the total magnetization in the third record? 0.00 μB per formula unit

Copy entry 1 word for word.
Compound: Pm2ScSn4Pd3
Source: the Alexandria database
Functional: PBE
Structure: optimized geometry

Unit cell a=4.370 b=4.370 c=12.192 alpha=90.00 beta=90.00 gamma=90.00
Atoms (fractional coordinates):
Pm (0.000, 0.500, 0.241)
Pm (0.500, 0.000, 0.759)
Sc (0.000, 0.000, 0.500)
Sn (0.000, 0.000, 0.000)
Sn (0.000, 0.500, 0.651)
Sn (0.500, 0.000, 0.349)
Sn (0.500, 0.500, 0.000)
Pd (0.000, 0.500, 0.866)
Pd (0.500, 0.000, 0.134)
Pd (0.500, 0.500, 0.500)

Values from the calculation:
space-group type: P-4m2
ΔE_f: -0.74 eV per atom
total magnetization: 0.00 μB per formula unit